First-principles (PBE) data for a geometry-optimized PuScCl structure, as listed in Alexandria via LeMat-Bulk.

Results
Crystal system   monoclinic
VASP energy   -95.82 eV for the cell shown
V   288.8 Å³ per cell

a = 9.527 Å, b = 3.308 Å, c = 9.266 Å
α = 90.00°, β = 98.52°, γ = 90.00°
Space group C2/m (No. 12)
Symmetry-distinct sites (fractional):
Pu  0.120  0.000  0.428 (multiplicity 4)
Sc  0.206  0.000  0.817 (multiplicity 4)
Cl  0.016  0.500  0.171 (multiplicity 4)